## A
Below is a geometry-optimized NdNbIr structure, with properties calculated at the GGA-PBE level.

Cell lengths 6.6048, 6.6048, 6.6048 Å; angles 90.00, 90.00, 90.00 degrees
Space group F-43m (No. 216)
Asymmetric unit:
Nd (0.0000, 0.0000, 0.0000) [4 per cell]
Nb (0.0000, 0.0000, 0.5000) [4 per cell]
Ir (0.2500, 0.2500, 0.7500) [4 per cell]

=====

## B
Below is a geometry-optimized NdNbIr structure, with properties calculated at the GGA-PBE level.

Cell lengths 6.5077, 6.5077, 6.5077 Å; angles 90.00, 90.00, 90.00 degrees
Space group F-43m (No. 216)
Asymmetric unit:
Nd (0.0000, 0.0000, 0.0000) [4 per cell]
Nb (0.2500, 0.2500, 0.2500) [4 per cell]
Ir (0.2500, 0.2500, 0.7500) [4 per cell]

=====

Most stable = A

=====

## A
Below is a geometry-optimized PuNbIr structure, with properties calculated at the GGA-PBE level.

Cell lengths 6.2460, 6.2460, 6.2460 Å; angles 90.00, 90.00, 90.00 degrees
Space group F-43m (No. 216)
Asymmetric unit:
Pu (0.0000, 0.0000, 0.0000) [4 per cell]
Nb (0.2500, 0.2500, 0.2500) [4 per cell]
Ir (0.2500, 0.2500, 0.7500) [4 per cell]

=====

## B
Below is a geometry-optimized PuNbIr structure, with properties calculated at the GGA-PBE level.

Cell lengths 6.3498, 6.3498, 6.3498 Å; angles 90.00, 90.00, 90.00 degrees
Space group F-43m (No. 216)
Asymmetric unit:
Pu (0.0000, 0.0000, 0.0000) [4 per cell]
Nb (0.0000, 0.0000, 0.5000) [4 per cell]
Ir (0.2500, 0.2500, 0.2500) [4 per cell]

=====

Most stable = B

=====

## A
Below is a geometry-optimized RbNbIr structure, with properties calculated at the GGA-PBE level.

Cell lengths 6.4939, 6.4939, 6.4939 Å; angles 90.00, 90.00, 90.00 degrees
Space group F-43m (No. 216)
Asymmetric unit:
Rb (0.0000, 0.0000, 0.0000) [4 per cell]
Nb (0.2500, 0.2500, 0.2500) [4 per cell]
Ir (0.0000, 0.0000, 0.5000) [4 per cell]

=====

## B
Below is a geometry-optimized RbNbIr structure, with properties calculated at the GGA-PBE level.

Cell lengths 6.4781, 6.4781, 6.4781 Å; angles 90.00, 90.00, 90.00 degrees
Space group F-43m (No. 216)
Asymmetric unit:
Rb (0.0000, 0.0000, 0.0000) [4 per cell]
Nb (0.2500, 0.2500, 0.2500) [4 per cell]
Ir (0.2500, 0.2500, 0.7500) [4 per cell]

=====

Most stable = A

=====

## A
Below is a geometry-optimized SmNbIr structure, with properties calculated at the GGA-PBE level.

Cell lengths 6.4914, 6.4914, 6.4914 Å; angles 90.00, 90.00, 90.00 degrees
Space group F-43m (No. 216)
Asymmetric unit:
Sm (0.0000, 0.0000, 0.0000) [4 per cell]
Nb (0.2500, 0.2500, 0.2500) [4 per cell]
Ir (0.2500, 0.2500, 0.7500) [4 per cell]

=====

## B
Below is a geometry-optimized SmNbIr structure, with properties calculated at the GGA-PBE level.

Cell lengths 6.5555, 6.5555, 6.5555 Å; angles 90.00, 90.00, 90.00 degrees
Space group F-43m (No. 216)
Asymmetric unit:
Sm (0.0000, 0.0000, 0.0000) [4 per cell]
Nb (0.0000, 0.0000, 0.5000) [4 per cell]
Ir (0.2500, 0.2500, 0.7500) [4 per cell]

=====

Most stable = B